! TlCuTe3Se (GGA-PBE, optimized geometry); values from VASP
&SYSTEM
  ibrav = 0, nat = 12, ntyp = 4
/
ATOMIC_SPECIES
Cu 63.55 Cu.upf
Se 78.96 Se.upf
Te 127.60 Te.upf
Tl 204.38 Tl.upf
CELL_PARAMETERS angstrom
8.2524 0.0000 0.0000
0.0000 4.1636 0.0000
-3.4911 0.0000 10.1941
ATOMIC_POSITIONS crystal
Cu 0.0617 0.2500 0.0804
Cu 0.9383 0.7500 0.9196
Se 0.3326 0.7500 0.3583
Se 0.6674 0.2500 0.6417
Te 0.2635 0.7500 0.0721
Te 0.0798 0.2500 0.3305
Te 0.5831 0.2500 0.3636
Te 0.4169 0.7500 0.6364
Te 0.9202 0.7500 0.6695
Te 0.7365 0.2500 0.9279
Tl 0.7474 0.7500 0.1717
Tl 0.2526 0.2500 0.8283
! DFT total energy: -0.1166 Ha/atom
! Space group: P2_1/m
! Density: 6.92 g/cm3

! TlCuTeSe3 (GGA-PBE, optimized geometry); values from VASP
&SYSTEM
  ibrav = 0, nat = 12, ntyp = 4
/
ATOMIC_SPECIES
Cu 63.55 Cu.upf
Se 78.96 Se.upf
Te 127.60 Te.upf
Tl 204.38 Tl.upf
CELL_PARAMETERS angstrom
-3.6359 -3.6210 -6.1291
3.6006 -0.4729 -1.8566
2.6882 -7.1777 7.0415
ATOMIC_POSITIONS crystal
Cu 0.9336 0.7500 0.4180
Cu 0.0664 0.2500 0.5820
Se 0.4253 0.7500 0.1382
Se 0.9317 0.7500 0.1762
Se 0.7506 0.2500 0.4360
Se 0.2494 0.7500 0.5640
Se 0.0683 0.2500 0.8238
Se 0.5747 0.2500 0.8618
Te 0.6809 0.2500 0.1547
Te 0.3191 0.7500 0.8453
Tl 0.2636 0.2500 0.3252
Tl 0.7364 0.7500 0.6748
! DFT total energy: -0.1262 Ha/atom
! Space group: P2_1/m
! Density: 6.54 g/cm3

! ZrCu2TeSe2 (GGA-PBE, optimized geometry); values from VASP
&SYSTEM
  ibrav = 0, nat = 12, ntyp = 4
/
ATOMIC_SPECIES
Cu 63.55 Cu.upf
Se 78.96 Se.upf
Te 127.60 Te.upf
Zr 91.22 Zr.upf
CELL_PARAMETERS angstrom
9.9266 -1.9900 0.0000
9.9266 1.9900 0.0000
-1.1286 0.0000 7.0901
ATOMIC_POSITIONS crystal
Cu 0.7900 0.7900 0.0740
Cu 0.4542 0.4542 0.3403
Cu 0.5458 0.5458 0.6597
Cu 0.2100 0.2100 0.9260
Se 0.9155 0.9155 0.1527
Se 0.5792 0.5792 0.3370
Se 0.4208 0.4208 0.6630
Se 0.0845 0.0845 0.8473
Te 0.2510 0.2510 0.2852
Te 0.7490 0.7490 0.7148
Zr 0.8606 0.8606 0.4547
Zr 0.1394 0.1394 0.5453
! DFT total energy: -0.1850 Ha/atom
! Space group: C2/m
! Density: 5.97 g/cm3

! ZrCu2TeSe2 (GGA-PBE, optimized geometry); values from VASP
&SYSTEM
  ibrav = 0, nat = 12, ntyp = 4
/
ATOMIC_SPECIES
Cu 63.55 Cu.upf
Se 78.96 Se.upf
Te 127.60 Te.upf
Zr 91.22 Zr.upf
CELL_PARAMETERS angstrom
0.3559 4.0228 -9.2248
-3.5047 3.5146 -8.7620
-0.3676 6.0201 3.5428
ATOMIC_POSITIONS crystal
Cu 0.7905 0.7905 0.0560
Cu 0.4507 0.4507 0.3456
Cu 0.5493 0.5493 0.6544
Cu 0.2095 0.2095 0.9440
Se 0.9133 0.9133 0.1490
Se 0.2537 0.2537 0.2814
Se 0.7463 0.7463 0.7186
Se 0.0867 0.0867 0.8510
Te 0.5817 0.5817 0.3018
Te 0.4183 0.4183 0.6982
Zr 0.8479 0.8479 0.4473
Zr 0.1521 0.1521 0.5527
! DFT total energy: -0.1837 Ha/atom
! Space group: C2/m
! Density: 6.22 g/cm3

! ZrCu2Te2Se (GGA-PBE, optimized geometry); values from VASP
&SYSTEM
  ibrav = 0, nat = 12, ntyp = 4
/
ATOMIC_SPECIES
Cu 63.55 Cu.upf
Se 78.96 Se.upf
Te 127.60 Te.upf
Zr 91.22 Zr.upf
CELL_PARAMETERS angstrom
-7.9803 6.2789 -1.0975
-9.2544 3.0069 -3.1029
-1.9933 -3.0474 6.2386
ATOMIC_POSITIONS crystal
Cu 0.7874 0.7874 0.0750
Cu 0.4552 0.4552 0.3418
Cu 0.5448 0.5448 0.6582
Cu 0.2126 0.2126 0.9250
Se 0.5816 0.5816 0.3470
Se 0.4184 0.4184 0.6530
Te 0.9194 0.9194 0.1246
Te 0.2515 0.2515 0.2857
Te 0.7485 0.7485 0.7143
Te 0.0806 0.0806 0.8754
Zr 0.8592 0.8592 0.4511
Zr 0.1408 0.1408 0.5489
! DFT total energy: -0.1800 Ha/atom
! Space group: C2/m
! Density: 6.34 g/cm3

! ZrCu2TeSe2 (GGA-PBE, optimized geometry); values from VASP
&SYSTEM
  ibrav = 0, nat = 12, ntyp = 4
/
ATOMIC_SPECIES
Cu 63.55 Cu.upf
Se 78.96 Se.upf
Te 127.60 Te.upf
Zr 91.22 Zr.upf
CELL_PARAMETERS angstrom
-4.2973 -2.1911 8.7097
-3.3448 -5.7761 7.3875
6.4644 0.7894 2.5165
ATOMIC_POSITIONS crystal
Cu 0.5450 0.5450 0.1553
Cu 0.2130 0.2130 0.4341
Cu 0.7870 0.7870 0.5659
Cu 0.4550 0.4550 0.8447
Se 0.4148 0.4148 0.1621
Se 0.7466 0.7466 0.2175
Se 0.2534 0.2534 0.7825
Se 0.5852 0.5852 0.8379
Te 0.0801 0.0801 0.3814
Te 0.9198 0.9198 0.6186
Zr 0.1488 0.1488 0.0474
Zr 0.8512 0.8512 0.9526
! DFT total energy: -0.1841 Ha/atom
! Space group: C2/m
! Density: 6.27 g/cm3

! ZrCu2Te2Se (GGA-PBE, optimized geometry); values from VASP
&SYSTEM
  ibrav = 0, nat = 12, ntyp = 4
/
ATOMIC_SPECIES
Cu 63.55 Cu.upf
Se 78.96 Se.upf
Te 127.60 Te.upf
Zr 91.22 Zr.upf
CELL_PARAMETERS angstrom
-10.0323 0.9893 2.5789
-9.3843 -2.8649 3.4646
3.0361 1.9526 6.2747
ATOMIC_POSITIONS crystal
Cu 0.5500 0.5500 0.1508
Cu 0.2116 0.2116 0.4259
Cu 0.7884 0.7884 0.5741
Cu 0.4500 0.4500 0.8492
Se 0.0890 0.0890 0.3403
Se 0.9110 0.9110 0.6597
Te 0.4238 0.4238 0.1960
Te 0.7498 0.7498 0.2163
Te 0.2502 0.2502 0.7837
Te 0.5762 0.5762 0.8040
Zr 0.1441 0.1441 0.0463
Zr 0.8559 0.8559 0.9537
! DFT total energy: -0.1794 Ha/atom
! Space group: C2/m
! Density: 6.28 g/cm3

! ThTlCuSe3 (GGA-PBE, optimized geometry); values from VASP
&SYSTEM
  ibrav = 0, nat = 12, ntyp = 4
/
ATOMIC_SPECIES
Cu 63.55 Cu.upf
Se 78.96 Se.upf
Th 232.04 Th.upf
Tl 204.38 Tl.upf
CELL_PARAMETERS angstrom
2.1071 -7.2590 0.0000
2.1071 7.2590 0.0000
0.0000 0.0000 10.9664
ATOMIC_POSITIONS crystal
Cu 0.9656 0.0344 0.2500
Cu 0.0344 0.9656 0.7500
Se 0.8694 0.1306 0.0655
Se 0.5663 0.4337 0.2500
Se 0.8694 0.1306 0.4345
Se 0.1306 0.8694 0.5655
Se 0.4337 0.5663 0.7500
Se 0.1306 0.8694 0.9345
Th 0.5000 0.5000 0.0000
Th 0.5000 0.5000 0.5000
Tl 0.2486 0.7514 0.2500
Tl 0.7514 0.2486 0.7500
! DFT total energy: -0.1865 Ha/atom
! Space group: Cmcm
! Density: 7.29 g/cm3

! Tl5Cu14Se10 (GGA-PBE, optimized geometry); values from VASP
&SYSTEM
  ibrav = 0, nat = 29, ntyp = 3
/
ATOMIC_SPECIES
Cu 63.55 Cu.upf
Se 78.96 Se.upf
Tl 204.38 Tl.upf
CELL_PARAMETERS angstrom
0.0000 3.9335 0.0000
-9.1173 -1.9667 0.0816
0.9421 -1.9667 16.2475
ATOMIC_POSITIONS crystal
Cu 0.2386 0.4295 0.0478
Cu 0.7087 0.2899 0.1275
Cu 0.1917 0.1682 0.2153
Cu 0.8065 0.3309 0.2821
Cu 0.6779 0.0415 0.3144
Cu 0.2905 0.2005 0.3805
Cu 0.7740 0.0780 0.4700
Cu 0.2260 0.9220 0.5300
Cu 0.7095 0.7995 0.6195
Cu 0.3221 0.9585 0.6856
Cu 0.1935 0.6691 0.7179
Cu 0.8083 0.8318 0.7847
Cu 0.2913 0.7101 0.8725
Cu 0.7614 0.5705 0.9522
Se 0.3568 0.6946 0.0191
Se 0.5974 0.0268 0.1681
Se 0.3235 0.4400 0.2070
Se 0.1545 0.9264 0.3825
Se 0.8852 0.3412 0.4292
Se 0.1148 0.6588 0.5708
Se 0.8455 0.0736 0.6175
Se 0.6765 0.5600 0.7930
Se 0.4026 0.9732 0.8319
Se 0.6432 0.3054 0.9809
Tl 0.0000 0.0000 0.0000
Tl 0.9556 0.7324 0.1788
Tl 0.5140 0.6272 0.4008
Tl 0.4860 0.3728 0.5992
Tl 0.0444 0.2676 0.8212
! DFT total energy: -0.1327 Ha/atom
! Space group: C2/m
! Density: 7.69 g/cm3

! TlCuSe4 (GGA-PBE, optimized geometry); values from VASP
&SYSTEM
  ibrav = 0, nat = 12, ntyp = 3
/
ATOMIC_SPECIES
Cu 63.55 Cu.upf
Se 78.96 Se.upf
Tl 204.38 Tl.upf
CELL_PARAMETERS angstrom
7.8903 0.0000 0.0000
0.0000 3.9669 0.0000
-3.4527 0.0000 9.5033
ATOMIC_POSITIONS crystal
Cu 0.4330 0.7500 0.4135
Cu 0.5670 0.2500 0.5865
Se 0.9311 0.7500 0.1325
Se 0.1727 0.2500 0.1417
Se 0.4078 0.7500 0.1633
Se 0.2449 0.2500 0.4300
Se 0.7551 0.7500 0.5700
Se 0.5922 0.2500 0.8367
Se 0.8273 0.7500 0.8583
Se 0.0689 0.2500 0.8675
Tl 0.7542 0.2500 0.3218
Tl 0.2458 0.7500 0.6782
! DFT total energy: -0.1249 Ha/atom
! Space group: P2_1/m
! Density: 6.52 g/cm3

! TmTlCuSe3 (GGA-PBE, optimized geometry); values from VASP
&SYSTEM
  ibrav = 0, nat = 12, ntyp = 4
/
ATOMIC_SPECIES
Cu 63.55 Cu.upf
Se 78.96 Se.upf
Tl 204.38 Tl.upf
Tm 168.93 Tm.upf
CELL_PARAMETERS angstrom
9.0640 0.0000 0.0000
0.0000 3.9965 0.0000
-3.1869 0.0000 8.9662
ATOMIC_POSITIONS crystal
Cu 0.5831 0.2500 0.0968
Cu 0.4169 0.7500 0.9032
Se 0.7011 0.7500 0.0298
Se 0.0372 0.2500 0.3352
Se 0.6084 0.2500 0.3621
Se 0.3916 0.7500 0.6379
Se 0.9628 0.7500 0.6648
Se 0.2989 0.2500 0.9702
Tl 0.2929 0.7500 0.2715
Tl 0.7071 0.2500 0.7285
Tm 0.8230 0.7500 0.3522
Tm 0.1770 0.2500 0.6478
! DFT total energy: -0.1629 Ha/atom
! Space group: P2_1/m
! Density: 6.89 g/cm3

! TlCuWSe3 (GGA-PBE, optimized geometry); values from VASP
&SYSTEM
  ibrav = 0, nat = 12, ntyp = 4
/
ATOMIC_SPECIES
Cu 63.55 Cu.upf
Se 78.96 Se.upf
Tl 204.38 Tl.upf
W 183.84 W.upf
CELL_PARAMETERS angstrom
7.6949 -1.7687 0.0000
7.6949 1.7687 0.0000
0.0000 0.0000 9.7602
ATOMIC_POSITIONS crystal
Cu 0.5413 0.5413 0.2500
Cu 0.4587 0.4587 0.7500
Se 0.6214 0.6214 0.0404
Se 0.9327 0.9327 0.2500
Se 0.6214 0.6214 0.4596
Se 0.3786 0.3786 0.5404
Se 0.0673 0.0673 0.7500
Se 0.3786 0.3786 0.9596
Tl 0.2496 0.2496 0.2500
Tl 0.7504 0.7504 0.7500
W 0.0000 0.0000 0.0000
W 0.0000 0.0000 0.5000
! DFT total energy: -0.1865 Ha/atom
! Space group: Cmcm
! Density: 8.61 g/cm3

Question: DFT total energy of number 9 (Tl5Cu14Se10)?
Answer: -0.1327 Ha/atom

Repeat the third record exactly.
! ZrCu2TeSe2 (GGA-PBE, optimized geometry); values from VASP
&SYSTEM
  ibrav = 0, nat = 12, ntyp = 4
/
ATOMIC_SPECIES
Cu 63.55 Cu.upf
Se 78.96 Se.upf
Te 127.60 Te.upf
Zr 91.22 Zr.upf
CELL_PARAMETERS angstrom
9.9266 -1.9900 0.0000
9.9266 1.9900 0.0000
-1.1286 0.0000 7.0901
ATOMIC_POSITIONS crystal
Cu 0.7900 0.7900 0.0740
Cu 0.4542 0.4542 0.3403
Cu 0.5458 0.5458 0.6597
Cu 0.2100 0.2100 0.9260
Se 0.9155 0.9155 0.1527
Se 0.5792 0.5792 0.3370
Se 0.4208 0.4208 0.6630
Se 0.0845 0.0845 0.8473
Te 0.2510 0.2510 0.2852
Te 0.7490 0.7490 0.7148
Zr 0.8606 0.8606 0.4547
Zr 0.1394 0.1394 0.5453
! DFT total energy: -0.1850 Ha/atom
! Space group: C2/m
! Density: 5.97 g/cm3

Question: Which value of density does entry 7 give?
Answer: 6.28 g/cm3